(1)
The following is a PBE calculation of a relaxed structure of Na2AlSi2O6, from Alexandria.

Summary:
**Symmetry**: C2/m
**Raw total energy**: -6.59 eV/atom

a = 5.4120 Å, b = 5.2670 Å, c = 6.0580 Å
α = 115.82°, β = 90.00°, γ = 120.92°
Site moments in Bohr magnetons follow the coordinates.
Atoms (fractional coordinates):
Na  0.6992  0.3983  0.1510  0.00
Na  0.3008  0.6017  0.8490  0.00
Al  0.5000  0.0000  0.5000  0.01
Si  0.9453  0.8906  0.7620  0.08
Si  0.0547  0.1094  0.2380  0.08
O  0.7405  0.4810  0.6150  0.07
O  0.2114  0.9203  0.2470  0.07
O  0.2911  0.0797  0.7530  0.07
O  0.7886  0.0797  0.7530  0.07
O  0.7089  0.9203  0.2470  0.07
O  0.2595  0.5190  0.3850  0.07

(2)
The following is a PBE calculation of a relaxed structure of Y2ThPd3, from Alexandria.

Summary:
**Symmetry**: C2/c
**Raw total energy**: -6.72 eV/atom
**Formation energy**: -0.733 eV/atom
**Distance to the lowest polymorph of the same formula**: 0.0634 eV/atom

a = 5.8459 Å, b = 8.2496 Å, c = 7.1673 Å
α = 106.75°, β = 114.07°, γ = 90.00°
Atoms (fractional coordinates):
Y  0.6677  0.5828  0.3315
Y  0.6638  0.0828  0.3315
Y  0.3362  0.9172  0.6685
Y  0.3323  0.4172  0.6685
Th  0.9979  0.7500  0.0000
Th  0.0021  0.2500  0.0000
Pd  0.5021  0.2500  0.0000
Pd  0.4979  0.7500  0.0000
Pd  0.1636  0.0829  0.3312
Pd  0.8324  0.4171  0.6688
Pd  0.1676  0.5829  0.3312
Pd  0.8364  0.9171  0.6688

(3)
The following is a PBE calculation of a relaxed structure of CsSI, from Alexandria.

Summary:
**Symmetry**: Pmc2_1
**Raw total energy**: -2.89 eV/atom
**Distance to the lowest polymorph of the same formula**: 0.0946 eV/atom

a = 5.2756 Å, b = 10.0966 Å, c = 9.9166 Å
α = 90.00°, β = 90.00°, γ = 90.00°
Atoms (fractional coordinates):
Cs  0.8431  0.7539  0.7513
Cs  0.8431  0.2461  0.7513
Cs  0.1569  0.2461  0.2513
Cs  0.1569  0.7539  0.2513
S  0.7005  0.5000  0.2561
S  0.2995  0.5000  0.7561
S  0.9153  0.0000  0.4847
S  0.0847  0.0000  0.9847
I  0.5259  0.5000  0.0123
I  0.4741  0.5000  0.5123
I  0.3793  0.0000  0.5518
I  0.6207  0.0000  0.0518

(4)
The following is a PBE calculation of a relaxed structure of Ti2VN, from Alexandria.

Summary:
**Symmetry**: Immm
**Raw total energy**: -9.15 eV/atom
**Distance to the lowest polymorph of the same formula**: 0.0000 eV/atom

a = 3.8908 Å, b = 6.1250 Å, c = 5.0794 Å
α = 107.54°, β = 112.52°, γ = 90.00°
Atoms (fractional coordinates):
Ti  0.1584  0.5792  0.3168
Ti  0.8416  0.4208  0.6832
Ti  0.1584  0.0792  0.3168
Ti  0.8416  0.9208  0.6832
V  0.5000  0.2500  0.0000
V  0.5000  0.7500  0.0000
N  0.0000  0.7500  0.0000
N  0.0000  0.2500  0.0000

(5)
The following is a PBE calculation of a relaxed structure of EuHoNi2, from Alexandria.

Summary:
**Symmetry**: Fm-3m
**Raw total energy**: -6.80 eV/atom
**Formation energy**: -0.192 eV/atom
**Distance to the lowest polymorph of the same formula**: 0.0563 eV/atom

a = 4.8280 Å, b = 4.8280 Å, c = 4.8280 Å
α = 60.00°, β = 60.00°, γ = 60.00°
Site moments in Bohr magnetons follow the coordinates.
Atoms (fractional coordinates):
Eu  0.5000  0.5000  0.5000  6.75
Ni  0.2500  0.2500  0.2500  0.00
Ni  0.7500  0.7500  0.7500  0.00
Ho  0.0000  0.0000  0.0000  0.09

(6)
The following is a PBE calculation of a relaxed structure of ScTaBr, from Alexandria.

Summary:
**Symmetry**: P3m1
**Raw total energy**: -6.68 eV/atom
**Distance to the lowest polymorph of the same formula**: 0.0000 eV/atom

a = 3.2490 Å, b = 3.2490 Å, c = 7.4413 Å
α = 90.00°, β = 90.00°, γ = 120.00°
Atoms (fractional coordinates):
Br  0.0000  0.0000  0.0558
Sc  0.6667  0.3333  0.3197
Ta  0.3333  0.6667  0.6245

(7)
The following is a PBE calculation of a relaxed structure of AlBr4, from Alexandria.

Summary:
**Symmetry**: I4/mmm
**Raw total energy**: -2.14 eV/atom
**Distance to the lowest polymorph of the same formula**: 0.6805 eV/atom

a = 12.1167 Å, b = 12.1167 Å, c = 12.1167 Å
α = 160.42°, β = 160.42°, γ = 27.83°
Atoms (fractional coordinates):
Al  0.0000  0.0000  0.0000
Br  0.7500  0.2500  0.5000
Br  0.2500  0.7500  0.5000
Br  0.0960  0.0960  0.0000
Br  0.9040  0.9040  0.0000

(8)
The following is a PBE calculation of a relaxed structure of NiHgPt, from Alexandria.

Summary:
**Symmetry**: P3m1
**Raw total energy**: -3.88 eV/atom
**Formation energy**: 0.159 eV/atom
**Distance to the lowest polymorph of the same formula**: 0.0706 eV/atom

a = 4.3929 Å, b = 4.3929 Å, c = 2.9033 Å
α = 90.00°, β = 90.00°, γ = 120.00°
Site moments in Bohr magnetons follow the coordinates.
Atoms (fractional coordinates):
Hg  0.0000  0.0000  0.0016  -0.01
Ni  0.6667  0.3333  0.4953  0.46
Pt  0.3333  0.6667  0.5031  0.09

(9)
The following is a PBE calculation of a relaxed structure of Ho4HSe2, from Alexandria.

Summary:
**Symmetry**: I4/mmm
**Raw total energy**: -4.89 eV/atom

a = 4.2403 Å, b = 4.2403 Å, c = 8.9914 Å
α = 76.36°, β = 76.36°, γ = 90.00°
Atoms (fractional coordinates):
H  0.0000  0.0000  0.0000
Ho  0.3226  0.3226  0.3547
Ho  0.6774  0.6774  0.6453
Ho  0.0000  0.5000  0.0000
Ho  0.5000  0.0000  0.0000
Se  0.8452  0.8452  0.3096
Se  0.1548  0.1548  0.6904

(10)
The following is a PBE calculation of a relaxed structure of PmGa5Ir2Pd, from Alexandria.

Summary:
**Symmetry**: P4/mmm
**Raw total energy**: -5.07 eV/atom
**Formation energy**: -0.311 eV/atom

a = 4.8086 Å, b = 4.8086 Å, c = 7.7229 Å
α = 90.00°, β = 90.00°, γ = 90.00°
Atoms (fractional coordinates):
Pm  0.0000  0.0000  0.5000
Ga  0.0000  0.5000  0.1814
Ga  0.5000  0.0000  0.1814
Ga  0.0000  0.5000  0.8186
Ga  0.5000  0.0000  0.8186
Ga  0.5000  0.5000  0.5000
Ir  0.5000  0.5000  0.2031
Ir  0.5000  0.5000  0.7969
Pd  0.0000  0.0000  0.0000

(11)
The following is a PBE calculation of a relaxed structure of NdMg4Hg, from Alexandria.

Summary:
**Symmetry**: Pmma
**Raw total energy**: -2.09 eV/atom
**Formation energy**: -0.182 eV/atom
**Distance to the lowest polymorph of the same formula**: 0.0000 eV/atom

a = 4.4949 Å, b = 7.8854 Å, c = 8.4598 Å
α = 90.00°, β = 90.00°, γ = 90.00°
Atoms (fractional coordinates):
Nd  0.0000  0.6238  0.7500
Nd  0.0000  0.3762  0.2500
Mg  0.0000  0.0000  0.5000
Mg  0.0000  0.0000  0.0000
Mg  0.5000  0.9459  0.7500
Mg  0.5000  0.0541  0.2500
Mg  0.5000  0.6880  0.0533
Mg  0.5000  0.3120  0.9467
Mg  0.5000  0.6880  0.4467
Mg  0.5000  0.3120  0.5533
Hg  0.0000  0.2249  0.7500
Hg  0.0000  0.7751  0.2500

(12)
The following is a PBE calculation of a relaxed structure of BaAc4PrSe8, from Alexandria.

Summary:
**Symmetry**: R3m
**Raw total energy**: -5.52 eV/atom

a = 9.2323 Å, b = 9.2323 Å, c = 9.1074 Å
α = 59.55°, β = 59.55°, γ = 60.00°
Atoms (fractional coordinates):
Ba  0.3770  0.3770  0.8690
Ac  0.6232  0.6232  0.1305
Ac  0.0014  0.4959  0.5013
Ac  0.4959  0.0014  0.5013
Ac  0.0014  0.0014  0.5013
Pr  0.0021  0.0021  0.9938
Se  0.2319  0.7913  0.7449
Se  0.7913  0.2319  0.7449
Se  0.2319  0.2319  0.7449
Se  0.2374  0.2374  0.2877
Se  0.7632  0.2223  0.2514
Se  0.2223  0.7632  0.2514
Se  0.7632  0.7632  0.2514
Se  0.7578  0.7578  0.7265

(13)
The following is a PBE calculation of a relaxed structure of PaVSi2Rh, from Alexandria.

Summary:
**Symmetry**: I-4m2
**Raw total energy**: -8.08 eV/atom

a = 4.1038 Å, b = 4.1038 Å, c = 5.7914 Å
α = 110.75°, β = 110.75°, γ = 90.00°
Site moments in Bohr magnetons follow the coordinates.
Atoms (fractional coordinates):
Pa  0.0000  0.0000  0.0000  0.55
V  0.7500  0.2500  0.5000  1.64
Si  0.6181  0.6181  0.2363  -0.03
Si  0.3819  0.3819  0.7637  -0.03
Rh  0.2500  0.7500  0.5000  0.07